[1]
Compound: KCoSb2
Source: Alexandria via LeMat-Bulk
Functional: GGA-PBE
Structure: optimized geometry

The structure in extended XYZ format:
```
4
Lattice="-2.2608 2.2608 4.8447 2.2608 -2.2608 4.8447 2.2608 2.2608 -4.8447" Properties=species:S:1:pos:R:3 pbc="T T T"
K 0.0000 0.0000 0.0000
Co 0.0000 2.2608 2.4223
Sb 2.2608 0.0000 2.4223
Sb 0.0000 0.0000 4.8447
```

Computed properties:
- density of states at the Fermi level (states/eV/atom) = 1.278
- space group = No. 119
- distance to the lowest polymorph of the same formula (meV per atom) = 722
- uncorrected formation energy (meV per atom) = 546

[2]
Compound: Y2Zn3
Source: Alexandria via LeMat-Bulk
Functional: GGA-PBE
Structure: optimized geometry

The structure in extended XYZ format:
```
20
Lattice="5.6061 0.0000 0.0000 -2.8031 4.8550 0.0000 0.0000 0.0000 19.3974" Properties=species:S:1:pos:R:3 pbc="T T T"
Y 0.0000 0.0000 1.6285
Y 0.0000 0.0000 8.0702
Y 0.0000 0.0000 11.3272
Y 0.0000 0.0000 17.7689
Y 0.0000 3.2367 2.5582
Y 0.0000 3.2367 7.1405
Y 2.8031 1.6183 12.2570
Y 2.8031 1.6183 16.8392
Zn -1.4015 2.4275 0.0000
Zn -1.4015 2.4275 9.6987
Zn 0.0000 1.4551 4.8494
Zn -1.5429 4.1275 4.8494
Zn 1.2602 0.7276 14.5481
Zn 2.8031 0.0000 0.0000
Zn 2.8031 0.0000 9.6987
Zn 1.4015 2.4275 0.0000
Zn 1.4015 2.4275 9.6987
Zn 1.5429 4.1275 4.8494
Zn 4.3460 0.7276 14.5481
Zn 2.8031 3.3999 14.5481
```

Computed properties:
- energy relative to the elements (eV/f.u.) = 0.85
- density of states at the Fermi level (states/eV/atom) = 1.012
- space group = No. 194

[3]
Compound: LaTh2Cd6
Source: Alexandria via LeMat-Bulk
Functional: GGA-PBE
Structure: optimized geometry

The structure in extended XYZ format:
```
9
Lattice="4.4463 2.5671 3.4218 -4.4463 2.5671 3.4218 0.0000 -5.1342 3.4218" Properties=species:S:1:pos:R:3 pbc="T T T"
La 0.0000 0.0000 0.0000
Th 0.0000 0.0000 3.4783
Th 0.0000 0.0000 6.7869
Cd -1.4848 -2.5717 5.1326
Cd -2.9695 0.0000 5.1326
Cd 1.4848 -2.5717 5.1326
Cd -1.4848 2.5717 5.1326
Cd 2.9695 0.0000 5.1326
Cd 1.4848 2.5717 5.1326
```

Computed properties:
- energy relative to the elements (eV/f.u.) = -2.15
- density of states at the Fermi level (states/eV/atom) = 0.690
- space group = No. 166

[4]
Compound: RbPO3
Source: Alexandria via LeMat-Bulk
Functional: GGA-PBE
Structure: optimized geometry

The structure in extended XYZ format:
```
10
Lattice="3.0483 -6.6823 0.0000 3.0483 6.6823 0.0000 0.0000 0.0000 4.8534" Properties=species:S:1:pos:R:3 pbc="T T T"
Rb 3.0483 4.5667 3.6401
Rb 3.0483 -4.5667 1.2134
P 3.0483 1.0397 3.6401
P 3.0483 -1.0397 1.2134
O 1.7554 1.8055 3.6401
O 1.7554 -1.8055 1.2134
O 3.0483 0.0000 0.0000
O 3.0483 0.0000 2.4267
O 4.3413 1.8055 3.6401
O 4.3413 -1.8055 1.2134
```

Computed properties:
- density of states at the Fermi level (states/eV/atom) = 0.000
- space group = No. 63
- uncorrected formation energy (meV per atom) = -2212

[5]
Compound: NiAgS
Source: Alexandria via LeMat-Bulk
Functional: GGA-PBE
Structure: optimized geometry

The structure in extended XYZ format:
```
3
Lattice="-1.5925 1.5925 4.6805 1.5925 -1.5925 4.6805 1.5925 1.5925 -4.6805" Properties=species:S:1:pos:R:3 pbc="T T T"
Ni 0.0000 0.0000 0.0000
Ag 0.0000 0.0000 6.7204
S 0.0000 0.0000 4.2069
```

Computed properties:
- density of states at the Fermi level (states/eV/atom) = 0.520
- space group = No. 107
- uncorrected formation energy (meV per atom) = 25

[6]
Compound: TbEuZnRu
Source: Alexandria via LeMat-Bulk
Functional: GGA-PBE
Structure: optimized geometry

The structure in extended XYZ format:
```
4
Lattice="0.0000 3.5280 3.5280 3.5280 0.0000 3.5280 3.5280 3.5280 0.0000" Properties=species:S:1:pos:R:3 pbc="T T T"
Tb 0.0000 0.0000 0.0000
Eu 3.5280 3.5280 3.5280
Zn 5.2919 5.2919 5.2919
Ru 1.7640 1.7640 1.7640
```

Computed properties:
- energy relative to the elements (eV/f.u.) = -0.61
- density of states at the Fermi level (states/eV/atom) = 0.775
- space group = No. 216

[7]
Compound: Tm4PuPb
Source: Alexandria via LeMat-Bulk
Functional: GGA-PBE
Structure: optimized geometry

The structure in extended XYZ format:
```
12
Lattice="-5.1372 5.1372 3.9866 5.1372 -5.1372 3.9866 5.1372 5.1372 -3.9866" Properties=species:S:1:pos:R:3 pbc="T T T"
Tm 5.1372 1.9537 -0.4075
Tm 3.1835 5.1372 -2.4008
Tm 1.9537 0.0000 1.5858
Tm 0.0000 2.6079 0.0000
Tm 0.0000 7.6665 0.0000
Tm 2.6079 5.1372 1.9933
Tm 2.5293 0.0000 5.9799
Tm 0.0000 3.1835 3.5791
Pu 0.0000 5.1372 1.1133
Pu 0.0000 0.0000 7.0932
Pb 5.1372 0.0000 2.0310
Pb 0.0000 0.0000 4.0243
```

Computed properties:
- energy relative to the elements (eV/f.u.) = 3.11
- density of states at the Fermi level (states/eV/atom) = 1.416
- space group = No. 109

[8]
Compound: CsIn6I8
Source: Alexandria via LeMat-Bulk
Functional: GGA-PBE
Structure: optimized geometry

The structure in extended XYZ format:
```
15
Lattice="12.2847 0.0000 0.0000 -6.1424 10.6389 0.0000 0.0000 0.0000 5.1270" Properties=species:S:1:pos:R:3 pbc="T T T"
Cs 0.0000 0.0000 0.0000
In -1.1914 5.0576 3.8706
In -1.1666 9.1419 3.8706
In 3.7843 3.5606 1.2563
In 2.3581 7.0783 3.8706
In 7.3090 1.4970 1.2563
In 7.3338 5.5813 1.2563
I -4.0179 7.5302 3.8161
I 1.6300 3.3942 3.8161
I 3.7544 0.2855 1.3109
I 0.0000 7.0926 1.3050
I 6.1424 3.5463 3.8219
I 2.3879 10.3534 3.8161
I 4.5124 7.2447 1.3109
I 10.1603 3.1087 1.3109
```

Computed properties:
- density of states at the Fermi level (states/eV/atom) = 0.445
- space group = No. 147
- distance to the lowest polymorph of the same formula (meV per atom) = 0
- uncorrected formation energy (meV per atom) = -566

[9]
Compound: AgPdPtPb2
Source: Alexandria via LeMat-Bulk
Functional: GGA-PBE
Structure: optimized geometry

The structure in extended XYZ format:
```
5
Lattice="5.1956 0.0000 0.0000 0.0000 5.1956 0.0000 0.0000 0.0000 5.1010" Properties=species:S:1:pos:R:3 pbc="T T T"
Ag 0.0000 0.0000 0.0000
Pd 2.5978 2.5978 2.5505
Pt 2.5978 2.5978 0.0000
Pb 0.0000 2.5978 2.5505
Pb 2.5978 0.0000 2.5505
```

Computed properties:
- energy relative to the elements (eV/f.u.) = 2.67
- density of states at the Fermi level (states/eV/atom) = 0.623
- space group = No. 123

[10]
Compound: K2InTe
Source: Alexandria via LeMat-Bulk
Functional: GGA-PBE
Structure: optimized geometry

The structure in extended XYZ format:
```
4
Lattice="2.0055 1.1579 11.3060 -2.0055 1.1579 11.3060 0.0000 -2.3157 11.3060" Properties=species:S:1:pos:R:3 pbc="T T T"
K 0.0000 0.0000 8.1566
K 0.0000 0.0000 25.7615
In 0.0000 0.0000 0.0000
Te 0.0000 0.0000 16.9591
```

Computed properties:
- density of states at the Fermi level (states/eV/atom) = 1.038
- space group = No. 166
- distance to the lowest polymorph of the same formula (meV per atom) = 331
- uncorrected formation energy (meV per atom) = -221

[11]
Compound: TlHgF3
Source: Alexandria via LeMat-Bulk
Functional: GGA-PBE
Structure: optimized geometry

The structure in extended XYZ format:
```
10
Lattice="5.6522 0.0000 0.0000 0.0000 5.8312 0.0000 -1.1904 0.0000 5.7439" Properties=species:S:1:pos:R:3 pbc="T T T"
Tl 0.6870 1.4578 2.4947
Tl 3.7748 4.3734 3.2492
Hg 0.4517 4.3734 5.5418
Hg 4.0101 1.4578 0.2021
F -0.1745 4.3734 0.9166
F 1.7564 2.9725 4.2847
F 1.7564 5.7743 4.2847
F 2.7054 0.0569 1.4592
F 2.7054 2.8587 1.4592
F 4.6363 1.4578 4.8273
```

Computed properties:
- density of states at the Fermi level (states/eV/atom) = 0.000
- space group = No. 11
- uncorrected formation energy (meV per atom) = -1550

[12]
Compound: Dy2ErHg
Source: Alexandria via LeMat-Bulk
Functional: GGA-PBE
Structure: optimized geometry

The structure in extended XYZ format:
```
4
Lattice="4.7814 0.0000 0.0000 0.0000 4.7814 0.0000 0.0000 0.0000 4.8049" Properties=species:S:1:pos:R:3 pbc="T T T"
Dy 0.0000 2.3907 0.0000
Dy 2.3907 0.0000 0.0000
Er 0.0000 0.0000 2.4024
Hg 2.3907 2.3907 2.4024
```

Computed properties:
- energy relative to the elements (eV/f.u.) = -0.62
- density of states at the Fermi level (states/eV/atom) = 1.324
- space group = No. 123
- distance to the lowest polymorph of the same formula (meV per atom) = 68